# 1
The following is a PBE calculation of an optimized crystal structure of Mg2Cd3Ag, from the Alexandria database.

Calculated values
energy of formation = -7.0 kJ/mol of atoms
calculated volume = 20.97 Å³ per atom

Cell lengths 4.150, 7.072, 10.104 Å; angles 116.13, 90.00, 107.06 degrees
Element x y z (fractional)
Mg: 0.212 0.424 0.874
Ag: 0.874 0.748 0.894
Mg: 0.468 0.935 0.124
Cd: 0.374 0.749 0.368
Cd: 0.044 0.087 0.372
Cd: 0.293 0.585 0.633
Cd: 0.707 0.415 0.367
Mg: 0.788 0.576 0.126
Ag: 0.126 0.252 0.106
Cd: 0.626 0.251 0.632
Mg: 0.532 0.065 0.876
Cd: 0.956 0.913 0.628

=====

# 2
The following is a PBE calculation of an optimized crystal structure of Na2MgCd12Ag3, from the Alexandria database.

Calculated values
energy of formation = 4.6 kJ/mol of atoms
calculated volume = 23.51 Å³ per atom

Cell lengths 7.543, 7.543, 7.543 Å; angles 84.32, 84.32, 84.32 degrees
Element x y z (fractional)
Ag: 0.000 0.000 0.500
Cd: 0.200 0.200 0.707
Cd: 0.200 0.707 0.200
Na: 0.615 0.615 0.615
Cd: 0.707 0.200 0.200
Cd: 0.800 0.800 0.293
Cd: 0.800 0.293 0.800
Cd: 0.946 0.380 0.380
Cd: 0.380 0.946 0.380
Cd: 0.293 0.800 0.800
Cd: 0.380 0.380 0.946
Ag: 0.500 0.000 0.000
Mg: 0.000 0.000 0.000
Cd: 0.620 0.620 0.054
Na: 0.385 0.385 0.385
Cd: 0.620 0.054 0.620
Ag: 0.000 0.500 0.000
Cd: 0.054 0.620 0.620

=====

# 3
The following is a PBE calculation of an optimized crystal structure of Na2Mg3Cd12Ag, from the Alexandria database.

Calculated values
energy of formation = 6.2 kJ/mol of atoms
calculated volume = 27.18 Å³ per atom

Cell lengths 11.014, 11.014, 11.014 Å; angles 39.63, 39.63, 39.63 degrees
Element x y z (fractional)
Cd: 0.082 0.638 0.082
Cd: 0.579 0.579 0.189
Cd: 0.579 0.189 0.579
Cd: 0.362 0.918 0.918
Ag: 0.000 0.000 0.000
Mg: 0.500 0.000 0.000
Cd: 0.421 0.811 0.421
Cd: 0.918 0.918 0.362
Cd: 0.918 0.362 0.918
Mg: 0.000 0.500 0.000
Na: 0.649 0.649 0.649
Cd: 0.082 0.082 0.638
Na: 0.351 0.351 0.351
Mg: 0.000 0.000 0.500
Cd: 0.811 0.421 0.421
Cd: 0.638 0.082 0.082
Cd: 0.189 0.579 0.579
Cd: 0.421 0.421 0.811